Run a
VASP calculation (GGA-PBEsol) on a geometry-optimized ScNiMo2 structure.

Summary:
space-group type	R3m

Cell: 2.7865 2.7865 27.2495 Å, 90.00 90.00 120.00°
Atoms (fractional coordinates):
Sc  0.0000  0.0000  0.0000
Sc  0.3333  0.6667  0.6667
Sc  0.6667  0.3333  0.3333
Ni  0.0000  0.0000  0.7455
Ni  0.3333  0.6667  0.4122
Ni  0.6667  0.3333  0.0788
Mo  0.0000  0.0000  0.2411
Mo  0.0000  0.0000  0.4869
Mo  0.3333  0.6667  0.1536
Mo  0.3333  0.6667  0.9077
Mo  0.6667  0.3333  0.5744
Mo  0.6667  0.3333  0.8202

=====

Run b
VASP calculation (GGA-PBEsol) on a geometry-optimized ScNiMo2 structure.

Summary:
space-group type	P4/mmm

Cell: 3.6524 3.6524 4.5622 Å, 90.00 90.00 90.00°
Atoms (fractional coordinates):
Sc  0.0000  0.0000  0.0000
Ni  0.5000  0.5000  0.0000
Mo  0.0000  0.5000  0.5000
Mo  0.5000  0.0000  0.5000

=====

Of them, run b has the highest stability.

=====

Run a
VASP calculation (GGA-PBEsol) on a geometry-optimized SiNi3Mo2 structure.

Summary:
space-group type	P6_3/mmc

Cell: 4.6941 4.6941 7.4556 Å, 90.00 90.00 120.00°
Atoms (fractional coordinates):
Si  0.0000  0.0000  0.0000
Si  0.0000  0.0000  0.5000
Ni  0.1696  0.3392  0.2500
Ni  0.1696  0.8304  0.2500
Ni  0.3392  0.1696  0.7500
Ni  0.6608  0.8304  0.2500
Ni  0.8304  0.1696  0.7500
Ni  0.8304  0.6608  0.7500
Mo  0.3333  0.6667  0.5647
Mo  0.3333  0.6667  0.9353
Mo  0.6667  0.3333  0.0647
Mo  0.6667  0.3333  0.4353

=====

Run b
VASP calculation (GGA-PBEsol) on a geometry-optimized SiNi3Mo2 structure.

Summary:
space-group type	Amm2

Cell: 7.5131 4.6641 4.6641 Å, 60.89 90.00 90.00°
Atoms (fractional coordinates):
Si  0.0000  0.2468  0.7532
Si  0.0000  0.7532  0.2468
Ni  0.0000  0.2367  0.2367
Ni  0.2418  0.4252  0.4252
Ni  0.5000  0.0818  0.5894
Ni  0.5000  0.5894  0.0818
Ni  0.5000  0.5901  0.5901
Ni  0.7582  0.4252  0.4252
Mo  0.1899  0.7559  0.7559
Mo  0.3180  0.0851  0.0851
Mo  0.6820  0.0851  0.0851
Mo  0.8101  0.7559  0.7559

=====

Of them, run a has the highest stability.

=====

Run a
VASP calculation (GGA-PBEsol) on a geometry-optimized TaNiMo2 structure.

Summary:
space-group type	P4/mmm

Cell: 3.7037 3.7037 4.2778 Å, 90.00 90.00 90.00°
Atoms (fractional coordinates):
Ta  0.0000  0.0000  0.0000
Ni  0.5000  0.5000  0.0000
Mo  0.0000  0.5000  0.5000
Mo  0.5000  0.0000  0.5000

=====

Run b
VASP calculation (GGA-PBEsol) on a geometry-optimized TaNiMo2 structure.

Summary:
space-group type	Pmmm

Cell: 2.6138 3.9784 5.7091 Å, 90.00 90.00 90.00°
Atoms (fractional coordinates):
Ta  0.0000  0.0000  0.0000
Ni  0.0000  0.0000  0.5000
Mo  0.5000  0.5000  0.2734
Mo  0.5000  0.5000  0.7266

=====

Of them, run a has the highest stability.

=====

Run a
VASP calculation (GGA-PBEsol) on a geometry-optimized TcNiMo2 structure.

Summary:
space-group type	I4/mmm

Cell: 3.8425 3.8425 7.4265 Å, 90.00 90.00 90.00°
Atoms (fractional coordinates):
Tc  0.0000  0.0000  0.0000
Tc  0.5000  0.5000  0.5000
Ni  0.0000  0.0000  0.5000
Ni  0.5000  0.5000  0.0000
Mo  0.0000  0.5000  0.2500
Mo  0.0000  0.5000  0.7500
Mo  0.5000  0.0000  0.2500
Mo  0.5000  0.0000  0.7500

=====

Run b
VASP calculation (GGA-PBEsol) on a geometry-optimized TcNiMo2 structure.

Summary:
space-group type	P4/mmm

Cell: 3.8059 3.8059 3.7672 Å, 90.00 90.00 90.00°
Atoms (fractional coordinates):
Tc  0.0000  0.0000  0.0000
Ni  0.5000  0.5000  0.0000
Mo  0.0000  0.5000  0.5000
Mo  0.5000  0.0000  0.5000

=====

Of them, run b has the highest stability.

=====

Run a
VASP calculation (GGA-PBEsol) on a geometry-optimized TcNi2Mo structure.

Summary:
space-group type	P4/mmm

Cell: 3.6135 3.6135 3.7976 Å, 90.00 90.00 90.00°
Atoms (fractional coordinates):
Tc  0.0000  0.0000  0.0000
Ni  0.0000  0.5000  0.5000
Ni  0.5000  0.0000  0.5000
Mo  0.5000  0.5000  0.0000

=====

Run b
VASP calculation (GGA-PBEsol) on a geometry-optimized TcNi2Mo structure.

Summary:
space-group type	I4/mmm

Cell: 3.6200 3.6200 7.5732 Å, 90.00 90.00 90.00°
Atoms (fractional coordinates):
Tc  0.0000  0.0000  0.0000
Tc  0.5000  0.5000  0.5000
Ni  0.0000  0.5000  0.2500
Ni  0.0000  0.5000  0.7500
Ni  0.5000  0.0000  0.2500
Ni  0.5000  0.0000  0.7500
Mo  0.0000  0.0000  0.5000
Mo  0.5000  0.5000  0.0000

=====

Run c
VASP calculation (GGA-PBEsol) on a geometry-optimized TcNi2Mo structure.

Summary:
space-group type	Pm

Cell: 2.5316 4.0688 4.8869 Å, 90.00 100.65 90.00°
Atoms (fractional coordinates):
Tc  0.0000  0.0000  0.0000
Ni  0.3281  0.0000  0.5369
Ni  0.4183  0.5000  0.7961
Mo  0.7445  0.5000  0.3222

=====

Of them, run c has the highest stability.

=====

Run a
VASP calculation (GGA-PBEsol) on a geometry-optimized NiTe2Mo structure.

Summary:
space-group type	P4/mmm

Cell: 4.5991 4.5991 3.3310 Å, 90.00 90.00 90.00°
Atoms (fractional coordinates):
Ni  0.0000  0.0000  0.0000
Te  0.0000  0.5000  0.5000
Te  0.5000  0.0000  0.5000
Mo  0.5000  0.5000  0.0000

=====

Run b
VASP calculation (GGA-PBEsol) on a geometry-optimized NiTe2Mo structure.

Summary:
space-group type	Immm

Cell: 3.8520 4.8326 7.7545 Å, 90.00 90.00 90.00°
Atoms (fractional coordinates):
Ni  0.0000  0.0000  0.0000
Ni  0.5000  0.5000  0.5000
Te  0.0000  0.5000  0.2894
Te  0.0000  0.5000  0.7106
Te  0.5000  0.0000  0.2106
Te  0.5000  0.0000  0.7894
Mo  0.0000  0.0000  0.5000
Mo  0.5000  0.5000  0.0000

=====

Run c
VASP calculation (GGA-PBEsol) on a geometry-optimized NiTe2Mo structure.

Summary:
space-group type	R-3m

Cell: 3.3442 3.3442 25.2966 Å, 90.00 90.00 120.00°
Atoms (fractional coordinates):
Ni  0.0000  0.0000  0.0000
Ni  0.3333  0.6667  0.6667
Ni  0.6667  0.3333  0.3333
Te  0.0000  0.0000  0.3980
Te  0.0000  0.0000  0.6020
Te  0.3333  0.6667  0.0647
Te  0.3333  0.6667  0.2687
Te  0.6667  0.3333  0.7313
Te  0.6667  0.3333  0.9353
Mo  0.0000  0.0000  0.5000
Mo  0.3333  0.6667  0.1667
Mo  0.6667  0.3333  0.8333

=====

Of them, run a has the highest stability.

=====

Run a
VASP calculation (GGA-PBEsol) on a geometry-optimized TlNiMo2 structure.

Summary:
space-group type	I4/mmm

Cell: 3.7469 3.7469 8.7330 Å, 90.00 90.00 90.00°
Atoms (fractional coordinates):
Tl  0.0000  0.0000  0.0000
Tl  0.5000  0.5000  0.5000
Ni  0.0000  0.0000  0.5000
Ni  0.5000  0.5000  0.0000
Mo  0.0000  0.5000  0.2500
Mo  0.0000  0.5000  0.7500
Mo  0.5000  0.0000  0.2500
Mo  0.5000  0.0000  0.7500

=====

Run b
VASP calculation (GGA-PBEsol) on a geometry-optimized TlNiMo2 structure.

Summary:
space-group type	Fm-3m

Cell: 6.2929 6.2929 6.2929 Å, 90.00 90.00 90.00°
Atoms (fractional coordinates):
Tl  0.0000  0.0000  0.0000
Tl  0.0000  0.5000  0.5000
Tl  0.5000  0.0000  0.5000
Tl  0.5000  0.5000  0.0000
Ni  0.0000  0.0000  0.5000
Ni  0.0000  0.5000  0.0000
Ni  0.5000  0.0000  0.0000
Ni  0.5000  0.5000  0.5000
Mo  0.2500  0.2500  0.2500
Mo  0.2500  0.2500  0.7500
Mo  0.2500  0.7500  0.2500
Mo  0.2500  0.7500  0.7500
Mo  0.7500  0.2500  0.2500
Mo  0.7500  0.2500  0.7500
Mo  0.7500  0.7500  0.2500
Mo  0.7500  0.7500  0.7500

=====

Of them, run a has the highest stability.

=====

Run a
VASP calculation (GGA-PBEsol) on a geometry-optimized MoP2O7 structure.

Summary:
space-group type	P2_1

Cell: 4.9438 8.2540 7.0213 Å, 90.00 105.71 90.00°
Atoms (fractional coordinates):
Mo  0.2152  0.0000  0.2291
Mo  0.7848  0.5000  0.7709
P  0.2461  0.7374  0.6135
P  0.3848  0.3114  0.0027
P  0.6152  0.8114  0.9973
P  0.7539  0.2374  0.3865
O  0.0020  0.1776  0.3157
O  0.1414  0.4310  0.9603
O  0.1492  0.8416  0.4312
O  0.2899  0.1364  0.0110
O  0.4271  0.8583  0.7800
O  0.4338  0.8268  0.1416
O  0.4373  0.5959  0.5906
O  0.5627  0.0959  0.4094
O  0.5662  0.3268  0.8584
O  0.5729  0.3583  0.2200
O  0.7101  0.6364  0.9890
O  0.8508  0.3416  0.5688
O  0.8586  0.9310  0.0397
O  0.9980  0.6776  0.6843

=====

Run b
VASP calculation (GGA-PBEsol) on a geometry-optimized MoP2O7 structure.

Summary:
space-group type	Pa-3

Cell: 8.2762 8.2762 8.2762 Å, 90.00 90.00 90.00°
Atoms (fractional coordinates):
Mo  0.0000  0.0000  0.0000
Mo  0.0000  0.5000  0.5000
Mo  0.5000  0.0000  0.5000
Mo  0.5000  0.5000  0.0000
P  0.1103  0.6103  0.8897
P  0.1103  0.8897  0.3897
P  0.3897  0.1103  0.8897
P  0.3897  0.3897  0.3897
P  0.6103  0.6103  0.6103
P  0.6103  0.8897  0.1103
P  0.8897  0.1103  0.6103
P  0.8897  0.3897  0.1103
O  0.0000  0.0000  0.5000
O  0.0000  0.5000  0.0000
O  0.0584  0.7165  0.4162
O  0.0584  0.7835  0.9162
O  0.0838  0.5584  0.7165
O  0.0838  0.9416  0.2165
O  0.2165  0.0838  0.9416
O  0.2165  0.4162  0.4416
O  0.2835  0.5838  0.9416
O  0.2835  0.9162  0.4416
O  0.4162  0.0584  0.7165
O  0.4162  0.4416  0.2165
O  0.4416  0.2165  0.4162
O  0.4416  0.2835  0.9162
O  0.5000  0.0000  0.0000
O  0.5000  0.5000  0.5000
O  0.5584  0.7165  0.0838
O  0.5584  0.7835  0.5838
O  0.5838  0.5584  0.7835
O  0.5838  0.9416  0.2835
O  0.7165  0.0838  0.5584
O  0.7165  0.4162  0.0584
O  0.7835  0.5838  0.5584
O  0.7835  0.9162  0.0584
O  0.9162  0.0584  0.7835
O  0.9162  0.4416  0.2835
O  0.9416  0.2165  0.0838
O  0.9416  0.2835  0.5838

=====

Of them, run a has the highest stability.